Material: SrMgW3
Method: DFT, PBEsol
State: optimized geometry

Values from the calculation:
Energy above the lowest structure with this stoichiometry   865 meV/atom
E_tot   -27.871 eV/f.u.
ΔE_f   3.422 eV per atom
Space group   Pm-3m, No. 221

Structure (extended XYZ):
```
5
Lattice="-2.612 1.397 -3.748 0.336 -4.384 -1.868 -3.986 -1.285 2.299" Properties=species:S:1:pos:R:3 pbc="T T T"
W -1.306 0.699 -1.874
W 0.168 -2.192 -0.934
Sr 0.000 0.000 0.000
Mg -3.131 -2.136 -1.659
W -1.993 -0.643 1.149
```

Material: Sr2MgZnW
Method: DFT, PBEsol
State: optimized geometry

Values from the calculation:
E_tot   -13.549 eV/f.u.
ΔE_f   1.448 eV per atom
Space group   P4/mmm, No. 123

Structure (extended XYZ):
```
5
Lattice="5.006 0.000 0.000 0.000 6.073 0.000 0.000 0.000 6.073" Properties=species:S:1:pos:R:3 pbc="T T T"
Sr 0.000 0.000 3.037
Zn 2.503 3.037 3.037
Sr 0.000 3.037 0.000
Mg 0.000 0.000 0.000
W 2.503 0.000 0.000
```

Material: SrYMg
Method: DFT, PBEsol
State: optimized geometry

Values from the calculation:
E_tot   -9.099 eV/f.u.
ΔE_f   0.427 eV per atom
Space group   F-43m, No. 216

Structure (extended XYZ):
```
3
Lattice="-4.169 -2.657 -2.377 0.331 -1.460 -5.277 0.534 -5.289 -1.354" Properties=species:S:1:pos:R:3 pbc="T T T"
Sr 0.000 0.000 0.000
Mg -0.826 -2.351 -2.252
Y -1.652 -4.703 -4.505
```

Material: Sr2YMg
Method: DFT, PBEsol
State: optimized geometry

Values from the calculation:
E_tot   -11.730 eV/f.u.
ΔE_f   0.123 eV per atom
Space group   Imm2, No. 44

Structure (extended XYZ):
```
4
Lattice="-3.758 -1.036 -0.748 0.070 -3.716 4.793 -0.155 7.012 1.602" Properties=species:S:1:pos:R:3 pbc="T T T"
Sr -2.897 1.843 1.471
Y -1.979 -2.061 2.268
Mg -0.917 0.350 4.123
Sr -3.736 2.012 5.453
```

Material: SrMgZn
Method: DFT, PBEsol
State: optimized geometry

Values from the calculation:
E_tot   -5.334 eV/f.u.
ΔE_f   -0.065 eV per atom
Space group   I4mm, No. 107

Structure (extended XYZ):
```
3
Lattice="-1.197 -0.688 -3.353 -1.526 -3.072 1.175 -3.713 4.859 2.289" Properties=species:S:1:pos:R:3 pbc="T T T"
Mg -6.083 0.891 0.028
Zn -3.609 2.119 0.854
Sr -3.180 -0.813 -0.659
```

Material: SrMgZn2
Method: DFT, PBEsol
State: optimized geometry

Values from the calculation:
E_tot   -7.262 eV/f.u.
ΔE_f   -0.135 eV per atom
Space group   R3m, No. 160

Structure (extended XYZ):
```
4
Lattice="4.413 0.000 0.000 2.207 3.822 0.000 2.207 1.274 5.871" Properties=species:S:1:pos:R:3 pbc="T T T"
Mg 4.413 2.548 3.711
Sr 2.207 1.274 1.222
Zn 6.620 3.822 4.851
Zn 2.207 1.274 4.846
```

Material: SrMg2Zn
Method: DFT, PBEsol
State: optimized geometry

Values from the calculation:
E_tot   -7.070 eV/f.u.
ΔE_f   -0.053 eV per atom
Space group   R3m, No. 160

Structure (extended XYZ):
```
4
Lattice="4.795 0.000 0.000 2.397 4.152 0.000 2.397 1.384 5.507" Properties=species:S:1:pos:R:3 pbc="T T T"
Mg 7.192 4.152 4.777
Sr 4.795 2.768 2.636
Mg 7.192 4.152 0.338
Zn 2.397 1.384 0.415
```

Material: SrMg2Zn
Method: DFT, PBEsol
State: optimized geometry

Values from the calculation:
E_tot   -6.885 eV/f.u.
ΔE_f   -0.007 eV per atom
Space group   P4/mmm, No. 123

Structure (extended XYZ):
```
4
Lattice="-0.340 -1.947 -2.836 3.409 0.188 -0.538 1.119 -6.977 4.657" Properties=species:S:1:pos:R:3 pbc="T T T"
Zn 2.094 -4.368 0.642
Sr 1.535 -0.880 -1.687
Mg 0.351 -2.186 1.459
Mg 0.769 -4.792 3.198
```

Material: SrMgZn
Method: DFT, PBEsol
State: optimized geometry

Values from the calculation:
E_tot   -5.371 eV/f.u.
ΔE_f   -0.077 eV per atom
Space group   P-6m2, No. 187

Structure (extended XYZ):
```
3
Lattice="4.168 0.000 0.000 0.000 4.834 0.000 0.000 -2.417 4.186" Properties=species:S:1:pos:R:3 pbc="T T T"
Zn 2.084 2.417 1.395
Mg 2.084 0.000 0.000
Sr 0.000 0.000 2.791
```

Material: SrMg2Zn
Method: DFT, PBEsol
State: optimized geometry

Values from the calculation:
E_tot   -7.041 eV/f.u.
ΔE_f   -0.046 eV per atom
Space group   P4mm, No. 99

Structure (extended XYZ):
```
4
Lattice="-3.245 0.111 1.512 -0.056 -3.578 0.144 3.338 0.235 7.147" Properties=species:S:1:pos:R:3 pbc="T T T"
Zn 1.012 -1.546 6.528
Mg 3.238 0.228 6.933
Mg -0.973 -1.686 2.277
Sr 1.768 0.124 3.786
```

Material: SrMgZn2
Method: DFT, PBEsol
State: optimized geometry

Values from the calculation:
E_tot   -7.157 eV/f.u.
ΔE_f   -0.109 eV per atom
Space group   Amm2, No. 38

Structure (extended XYZ):
```
4
Lattice="3.941 0.000 0.000 0.000 4.274 0.000 -1.970 0.000 5.748" Properties=species:S:1:pos:R:3 pbc="T T T"
Mg 0.000 0.000 1.333
Zn 1.970 2.137 2.099
Zn 1.970 0.000 3.404
Sr 0.000 2.137 4.694
```

Material: SrMg2Zn
Method: DFT, PBEsol
State: optimized geometry

Values from the calculation:
E_tot   -7.042 eV/f.u.
ΔE_f   -0.046 eV per atom
Space group   F-43m, No. 216

Structure (extended XYZ):
```
4
Lattice="-3.239 1.159 -3.879 -1.368 -3.653 -3.415 -4.832 -1.878 0.009" Properties=species:S:1:pos:R:3 pbc="T T T"
Sr -4.720 -2.186 -3.642
Mg 0.000 0.000 0.000
Mg -7.079 -3.279 -5.463
Zn -2.360 -1.093 -1.821
```

What did the ninth record say?
Material: SrMgZn
Method: DFT, PBEsol
State: optimized geometry

Values from the calculation:
E_tot   -5.371 eV/f.u.
ΔE_f   -0.077 eV per atom
Space group   P-6m2, No. 187

Structure (extended XYZ):
```
3
Lattice="4.168 0.000 0.000 0.000 4.834 0.000 0.000 -2.417 4.186" Properties=species:S:1:pos:R:3 pbc="T T T"
Zn 2.084 2.417 1.395
Mg 2.084 0.000 0.000
Sr 0.000 0.000 2.791
```